A plane-wave DFT calculation with PBE was carried out for an optimized crystal structure of Tm3PaRh4.

Properties
For the magnetization, the calculation gives 0.0000 μB per atom. The value obtained for the formation enthalpy at 0 K is -891 meV per atom.

Cell lengths 4.8730, 4.8730, 23.2897 Å; angles 90.00, 90.00, 120.00 degrees
With the nearest neighbours (Å) after each atom.
Space group R-3m (No. 166, hexagonal axes)
Asymmetric unit:
Tm 0.0000 0.0000 0.0000  8 Rh 2.99-3.07
Tm 0.0000 0.0000 0.2544  8 Rh 2.88-3.07
Pa 0.0000 0.0000 0.5000  8 Rh 2.65-2.95
Rh 0.0000 0.0000 0.1286  5 Tm 2.93-3.04, 3 Pa 2.95
Rh 0.0000 0.0000 0.3863  1 Pa 2.65, 3 Tm 2.88

***

A plane-wave DFT calculation with PBE was carried out for an optimized crystal structure of TmPaRh.

Properties
For the magnetization, the calculation gives 0.1875 μB per atom. The value obtained for the formation enthalpy at 0 K is -221 meV per atom.

Cell lengths 6.7339, 6.7339, 6.7339 Å; angles 90.00, 90.00, 90.00 degrees
With the nearest neighbours (Å) after each atom.
Space group F-43m (No. 216)
Asymmetric unit:
Tm 0.0000 0.0000 0.0000  4 Rh 2.92
Pa 0.0000 0.0000 0.5000  4 Rh 2.92
Rh 0.2500 0.2500 0.7500  4 Pa 2.92, 4 Tm 2.92

***

A plane-wave DFT calculation with PBE was carried out for an optimized crystal structure of TmPaZnRh.

Properties
For the magnetization, the calculation gives 0.0000 μB per atom. The value obtained for the formation enthalpy at 0 K is -365 meV per atom.

Cell lengths 6.9520, 6.9520, 6.9520 Å; angles 90.00, 90.00, 90.00 degrees
With the nearest neighbours (Å) after each atom.
Space group F-43m (No. 216)
Asymmetric unit:
Tm 0.0000 0.0000 0.0000  4 Rh 3.01, 4 Zn 3.01
Pa 0.0000 0.0000 0.5000  4 Rh 3.01, 4 Zn 3.01
Zn 0.2500 0.2500 0.7500  4 Pa 3.01, 4 Tm 3.01
Rh 0.2500 0.2500 0.2500  4 Pa 3.01, 4 Tm 3.01

***

A plane-wave DFT calculation with PBE was carried out for an optimized crystal structure of UPa2Rh.

Properties
For the magnetization, the calculation gives 0.1054 μB per atom. The value obtained for the formation enthalpy at 0 K is 37 meV per atom.

Cell lengths 3.0277, 3.0277, 31.3884 Å; angles 90.00, 90.00, 120.00 degrees
With the nearest neighbours (Å) after each atom.
Space group R-3m (No. 166, hexagonal axes)
Asymmetric unit:
U 0.0000 0.0000 0.0000  2 Pa 2.85, 6 U 3.03
Pa 0.0000 0.0000 0.0909  1 U 2.85, 3 Rh 2.95, 6 Pa 3.03
Rh 0.0000 0.0000 0.5000  6 Pa 2.95, 6 Rh 3.03

***

A plane-wave DFT calculation with PBE was carried out for an optimized crystal structure of UPa2Rh.

Properties
For the magnetization, the calculation gives 0.0003 μB per atom. The value obtained for the formation enthalpy at 0 K is -207 meV per atom.

Cell lengths 3.5208, 3.5208, 6.8157 Å; angles 90.00, 90.00, 90.00 degrees
With the nearest neighbours (Å) after each atom.
Space group P4/mmm (No. 123)
Asymmetric unit:
U 0.0000 0.0000 0.0000  8 Pa 3.03
Pa 0.5000 0.5000 0.2523  4 Rh 3.01, 4 U 3.03
Rh 0.0000 0.0000 0.5000  8 Pa 3.01

***

A plane-wave DFT calculation with PBE was carried out for an optimized crystal structure of UPaRh.

Properties
For the magnetization, the calculation gives 0.8530 μB per atom. The value obtained for the formation enthalpy at 0 K is -253 meV per atom.

Cell lengths 3.6007, 3.6007, 9.4374 Å; angles 90.00, 90.00, 90.00 degrees
With the nearest neighbours (Å) after each atom.
Space group I4mm (No. 107)
Asymmetric unit:
U 0.0000 0.0000 0.0000  5 Rh 2.99-3.16, 5 Pa 3.02-3.10
Pa 0.0000 0.0000 0.3286  5 Rh 2.98-3.18, 5 U 3.02-3.10
Rh 0.0000 0.0000 0.6653  5 Pa 2.98-3.18, 5 U 2.99-3.16

***

A plane-wave DFT calculation with PBE was carried out for an optimized crystal structure of UPaRh14.

Properties
For the magnetization, the calculation gives 0.0000 μB per atom. The value obtained for the formation enthalpy at 0 K is -308 meV per atom.

Cell lengths 5.6049, 5.6049, 7.8416 Å; angles 90.00, 90.00, 90.00 degrees
With the nearest neighbours (Å) after each atom.
Space group P4/mmm (No. 123)
Asymmetric unit:
U 0.0000 0.0000 0.0000  12 Rh 2.80-2.81
Pa 0.5000 0.5000 0.0000  12 Rh 2.80-2.84
Rh 0.0000 0.0000 0.5000  12 Rh 2.73-2.80
Rh 0.0000 0.5000 0.0000  2 Pa 2.80, 2 U 2.80, 8 Rh 2.83
Rh 0.0000 0.5000 0.5000  12 Rh 2.75-2.80
Rh 0.2475 0.2475 0.2573  10 Rh 2.73-2.83, 1 U 2.81, 1 Pa 2.84
Rh 0.5000 0.5000 0.5000  12 Rh 2.76-2.80

***

A plane-wave DFT calculation with PBE was carried out for an optimized crystal structure of UPa2Rh.

Properties
For the magnetization, the calculation gives 0.7818 μB per atom. The value obtained for the formation enthalpy at 0 K is -156 meV per atom.

Cell lengths 6.9419, 6.9419, 6.9419 Å; angles 90.00, 90.00, 90.00 degrees
With the nearest neighbours (Å) after each atom.
Space group Fm-3m (No. 225)
Asymmetric unit:
U 0.0000 0.0000 0.0000  8 Pa 3.01
Pa 0.2500 0.2500 0.2500  4 U 3.01, 4 Rh 3.01
Rh 0.0000 0.0000 0.5000  8 Pa 3.01

***

A plane-wave DFT calculation with PBE was carried out for an optimized crystal structure of UPa2Rh.

Properties
For the magnetization, the calculation gives 0.0007 μB per atom. The value obtained for the formation enthalpy at 0 K is -293 meV per atom.

Cell lengths 5.1756, 5.1756, 3.1301 Å; angles 90.00, 90.00, 90.00 degrees
With the nearest neighbours (Å) after each atom.
Space group P4/mmm (No. 123)
Asymmetric unit:
U 0.0000 0.0000 0.0000  8 Pa 3.02, 2 U 3.13
Pa 0.0000 0.5000 0.5000  4 U 3.02, 4 Rh 3.02, 2 Pa 3.13
Rh 0.5000 0.5000 0.0000  8 Pa 3.02, 2 Rh 3.13

***

A plane-wave DFT calculation with PBE was carried out for an optimized crystal structure of UPaRh.

Properties
For the magnetization, the calculation gives 0.0000 μB per atom. The value obtained for the formation enthalpy at 0 K is -237 meV per atom.

Cell lengths 5.0024, 5.6302, 8.0985 Å; angles 90.00, 90.00, 90.00 degrees
With the nearest neighbours (Å) after each atom.
Space group Immm (No. 71)
Asymmetric unit:
U 0.0000 0.0000 0.1534  1 U 2.48
Pa 0.0000 0.5000 0.1782  4 U 2.82-2.85, 1 Pa 2.89, 2 Rh 2.97
Rh 0.0000 0.2462 0.5000  2 Rh 2.77-2.86, 2 Pa 2.97

***

A plane-wave DFT calculation with PBE was carried out for an optimized crystal structure of UPaRh.

Properties
For the magnetization, the calculation gives 0.0557 μB per atom. The value obtained for the formation enthalpy at 0 K is -206 meV per atom.

Cell lengths 4.8229, 4.8229, 2.8019 Å; angles 90.00, 90.00, 120.00 degrees
With the nearest neighbours (Å) after each atom.
Space group P-6m2 (No. 187)
Asymmetric unit:
U 0.0000 0.0000 0.0000  3 Pa 2.78, 2 U 2.80, 6 Rh 3.12
Pa 0.3333 0.6667 0.0000  3 U 2.78, 2 Pa 2.80, 6 Rh 3.12
Rh 0.6667 0.3333 0.5000  2 Rh 2.80, 6 U 3.12, 6 Pa 3.12

***

A plane-wave DFT calculation with PBE was carried out for an optimized crystal structure of UPa4Rh.

Properties
For the magnetization, the calculation gives 0.0001 μB per atom. The value obtained for the formation enthalpy at 0 K is 205 meV per atom.

Cell lengths 8.5422, 8.5422, 8.8359 Å; angles 90.00, 90.00, 90.00 degrees
With the nearest neighbours (Å) after each atom.
Space group I4_1md (No. 109)
Asymmetric unit:
U 0.0000 0.0000 0.0000  6 Pa 2.55-2.75
Pa 0.0000 0.3050 0.0026  2 U 2.61-2.75, 1 Rh 2.83
Pa 0.0000 0.3107 0.4736  1 U 2.55, 1 Rh 2.66
Rh 0.0000 0.0000 0.4943  6 Pa 2.66-2.89

***

A plane-wave DFT calculation with PBE was carried out for an optimized crystal structure of ZrUPaRh.

Properties
For the magnetization, the calculation gives 0.7723 μB per atom. The value obtained for the formation enthalpy at 0 K is -78 meV per atom.

Cell lengths 6.8855, 6.8855, 6.8855 Å; angles 90.00, 90.00, 90.00 degrees
With the nearest neighbours (Å) after each atom.
Space group F-43m (No. 216)
Asymmetric unit:
Zr 0.0000 0.0000 0.0000  4 Rh 2.98, 4 U 2.98
U 0.2500 0.2500 0.2500  4 Zr 2.98, 4 Pa 2.98
Pa 0.0000 0.0000 0.5000  4 U 2.98, 4 Rh 2.98
Rh 0.2500 0.2500 0.7500  4 Zr 2.98, 4 Pa 2.98